Li4V3P8O29 GGA+U optimized geometry; calculated total energy = -0.5186 Ry per atom; calculated density = 2499 kg/m3; SG = C2, No. 5
1.0
9.6926 -0.0225 0.2488
4.7339 8.4580 0.2488
0.5515 0.3225 14.4671
P O V Li
16 58 6 8
Cartesian
5.4064 3.2214 13.0278
6.9601 0.6566 1.6008
5.0323 3.1101 5.8018
1.8199 1.5337 1.1606
5.5187 5.6963 1.5498
12.9464 6.9127 6.5472
4.4323 5.9986 8.8701
2.6046 0.8656 8.4174
9.2359 2.7923 6.1740
9.7997 5.8977 9.1628
12.7489 7.9242 13.8041
7.3074 6.7422 13.4148
9.5192 5.6263 1.9368
10.9925 3.0144 13.3638
7.5767 7.8372 6.0945
8.0152 2.0785 8.7907
8.1389 5.4682 13.6760
11.6855 4.3051 13.8900
5.9878 5.7842 8.7553
13.7323 7.0384 7.9693
8.9035 4.2981 1.3978
6.2211 4.3469 1.2887
10.6380 4.6146 8.9371
8.9392 1.8990 7.4823
11.1920 8.1293 13.6062
6.0029 6.4091 2.7711
12.4850 8.1464 0.8343
9.4666 3.1843 13.6206
6.8063 1.1595 8.6411
7.1211 0.2208 3.0028
5.7394 1.7502 6.0275
6.8659 3.1067 13.5668
3.5542 2.9754 6.3067
11.9441 8.0828 6.5181
5.4954 0.6856 1.0746
6.7530 8.5102 9.7848
1.7557 1.8727 14.1303
0.8159 1.1640 2.1808
9.0500 6.7430 0.9319
3.9818 5.4500 1.5796
5.8075 6.6219 0.2488
10.6420 7.1198 8.6580
6.4487 6.6697 12.1936
4.1684 6.6507 10.2033
11.0695 5.4742 1.7198
2.4047 2.9912 1.3584
13.0783 6.4105 13.8880
9.2242 6.0708 10.5342
9.0425 1.8867 4.9924
4.1556 0.8849 8.3651
5.1637 3.6966 4.4304
8.8992 1.8029 9.9723
2.1096 0.2423 6.9954
7.0007 6.3764 6.2094
8.5843 5.8667 8.1465
8.1804 3.9432 6.2194
3.6508 4.7047 8.6068
2.0764 2.3129 8.4465
9.0875 7.8837 6.3578
4.6634 4.1780 14.0328
13.5635 8.6178 12.7838
7.5297 3.5628 8.7453
7.5604 2.0697 1.3440
5.6554 4.1541 6.8181
2.9775 0.5044 1.0766
4.2498 7.0465 5.1798
7.1378 8.3870 4.7613
5.2581 3.7824 11.6584
11.2933 2.6604 11.9619
10.6296 3.3951 6.3235
12.1689 5.5704 6.5996
9.1031 6.0307 3.3063
4.7787 1.7958 13.2448
8.2758 7.9608 13.3850
5.6435 0.2051 7.3868
12.0317 3.9404 7.5778
7.1722 4.9208 7.4823
7.6023 3.5525 0.2488
9.6477 8.6809 14.4889
2.6814 4.6076 0.4758
4.6912 5.7327 11.8282
0.4837 0.4461 3.9918
14.3521 8.5553 10.9728
5.5020 5.6812 4.5597
10.5656 2.9310 10.1913
7.2422 0.9877 4.7733
7.3287 6.7493 10.4049
7.6814 7.4812 3.1365